(1)
# ScAlFeCu

ScAlFeCu after structural relaxation (PBE-GGA, Alexandria via LeMat-Bulk).

It has space group F-43m (No. 216), with a = 6.103 Å, b = 6.103 Å, c = 6.103 Å, α = 90.00°, β = 90.00° and γ = 90.00°. The asymmetric unit holds Sc at (0.000, 0.000, 0.000), Al at (0.000, 0.000, 0.500), Fe at (0.250, 0.250, 0.250) and Cu at (0.250, 0.250, 0.750).

The calculation puts the formation energy at -0.228 eV/atom. For the density of states at the Fermi level, the calculation gives 0.804 states/eV per atom. The calculation puts the magnetization at 0.18 μB/f.u.


(2)
# CsCd3Pd2

CsCd3Pd2 after structural relaxation (PBE-GGA, Alexandria via LeMat-Bulk).

It has space group Cmcm (No. 63), with a = 12.185 Å, b = 8.822 Å, c = 5.920 Å, α = 90.00°, β = 90.00° and γ = 90.00°. The asymmetric unit holds Cs at (0.000, 0.143, 0.250), Cd at (0.000, 0.438, 0.750), Cd at (0.213, 0.232, 0.750) and Pd at (0.189, 0.500, 0.000).

The calculation puts the formation energy at -0.273 eV/atom. For the density of states at the Fermi level, the calculation gives 0.445 states/eV per atom. The calculation puts the magnetization at 0.00 μB/f.u.


(3)
# Nb3PO

Nb3PO after structural relaxation (PBE-GGA, Alexandria via LeMat-Bulk).

It has space group Pm-3m (No. 221), with a = 4.195 Å, b = 4.195 Å, c = 4.195 Å, α = 90.00°, β = 90.00° and γ = 90.00°. The asymmetric unit holds Nb at (0.000, 0.000, 0.500), P at (0.500, 0.500, 0.500) and O at (0.000, 0.000, 0.000).

The value obtained for the relative energy among the computed polymorphs is 0.0000 eV per atom. For the density of states at the Fermi level, the calculation gives 0.331 states/eV per atom. The uncorrected formation energy is -0.673 eV/atom. The calculation puts the magnetization at 0.00 μB/f.u.


(4)
# Ca2Cd2Sb

Ca2Cd2Sb after structural relaxation (PBE-GGA, Alexandria via LeMat-Bulk).

It has space group I4/mmm (No. 139), with a = 6.094 Å, b = 6.094 Å, c = 8.595 Å, α = 90.00°, β = 90.00° and γ = 90.00°. The asymmetric unit holds Ca at (0.000, 0.500, 0.250), Cd at (0.000, 0.000, 0.156) and Sb at (0.000, 0.000, 0.500).

The value obtained for the relative energy among the computed polymorphs is 0.2711 eV per atom. For the density of states at the Fermi level, the calculation gives 0.714 states/eV per atom. The uncorrected formation energy is -0.151 eV/atom. The calculation puts the magnetization at 0.00 μB/f.u.


(5)
# Ac2Zn3Ni2

Ac2Zn3Ni2 after structural relaxation (PBE-GGA, Alexandria via LeMat-Bulk).

It has space group C2/m (No. 12), with a = 10.645 Å, b = 4.070 Å, c = 7.591 Å, α = 90.00°, β = 117.10° and γ = 90.00°. The asymmetric unit holds Ac at (0.137, 0.000, 0.265), Zn at (0.000, 0.500, 0.500), Zn at (0.154, 0.500, 0.933) and Ni at (0.128, 0.000, 0.699).

The calculation puts the formation energy at -0.308 eV/atom. The value obtained for the relative energy among the computed polymorphs is 0.0000 eV per atom. For the density of states at the Fermi level, the calculation gives 0.530 states/eV per atom. The calculation puts the magnetization at 0.00 μB/f.u.


(6)
# Hf3Pd2Au4

Hf3Pd2Au4 after structural relaxation (PBE-GGA, Alexandria via LeMat-Bulk).

It has space group C2/c (No. 15), with a = 13.233 Å, b = 10.171 Å, c = 4.990 Å, α = 90.00°, β = 100.46° and γ = 90.00°. The asymmetric unit holds Hf at (0.000, 0.116, 0.250), Hf at (0.165, 0.372, 0.083), Pd at (0.111, 0.122, 0.807), Au at (0.056, 0.367, 0.528) and Au at (0.222, 0.122, 0.359).

The calculation puts the formation energy at -0.581 eV/atom. For the density of states at the Fermi level, the calculation gives 0.617 states/eV per atom. The calculation puts the magnetization at 0.00 μB/f.u.


(7)
# NdPRu

NdPRu after structural relaxation (PBE-GGA, Alexandria via LeMat-Bulk).

It has space group R3m (No. 160, hexagonal axes), with a = 3.7956 Å, b = 3.7956 Å, c = 14.9866 Å, α = 90.00°, β = 90.00° and γ = 120.00°. The asymmetric unit holds Nd at (0.0000, 0.0000, 0.0000), P at (0.0000, 0.0000, 0.2050) and Ru at (0.0000, 0.0000, 0.4918).

The calculation puts the formation energy at -0.818 eV/atom. For the density of states at the Fermi level, the calculation gives 0.470 states/eV per atom. The calculation puts the magnetization at 0.00 μB/f.u.


(8)
# TaTiPN2

TaTiPN2 after structural relaxation (PBE-GGA, Alexandria via LeMat-Bulk).

It has space group P4/mmm (No. 123), with a = 3.747 Å, b = 3.747 Å, c = 4.587 Å, α = 90.00°, β = 90.00° and γ = 90.00°. The asymmetric unit holds Ta at (0.000, 0.000, 0.000), Ti at (0.500, 0.500, 0.000), P at (0.500, 0.500, 0.500) and N at (0.000, 0.500, 0.500).

For the density of states at the Fermi level, the calculation gives 0.701 states/eV per atom. The uncorrected formation energy is 1.315 eV/atom. The calculation puts the magnetization at 0.00 μB/f.u.